(1)
The following is a DFT calculation (PBE) of a geometry-optimized KReW structure.

## Properties
- SG = F-43m, No. 216
- formation energy from the elements (meV/atom) = 3702
- excess energy over the best structure of this formula in the dataset (meV per atom) = 2695.5

Cell: 4.638 4.638 4.638 Å, 60.00 60.00 60.00°
Positions (direct):
K (0.000, 0.000, 0.000)
Re (0.750, 0.750, 0.750)
W (0.250, 0.250, 0.250)

---

(2)
The following is a DFT calculation (PBE) of a geometry-optimized KRe2W structure.

## Properties
- SG = P2/m, No. 10
- formation energy from the elements (meV/atom) = 967
- excess energy over the best structure of this formula in the dataset (meV per atom) = 215.4

Cell: 2.693 4.269 7.814 Å, 90.00 96.96 90.00°
Positions (direct):
K (0.000, 0.000, 0.000)
Re (0.176, 0.500, 0.654)
Re (0.824, 0.500, 0.346)
W (0.500, 0.000, 0.500)

---

(3)
The following is a DFT calculation (PBE) of a geometry-optimized K2ReW structure.

## Properties
- SG = C2/m, No. 12
- formation energy from the elements (meV/atom) = 1467
- excess energy over the best structure of this formula in the dataset (meV per atom) = 561.4

Cell: 6.728 6.728 2.734 Å, 99.04 99.04 131.96°
Positions (direct):
K (0.000, 0.500, 0.000)
K (0.500, 0.000, 0.000)
Re (0.000, 0.000, 0.500)
W (0.500, 0.500, 0.500)

---

(4)
The following is a DFT calculation (PBE) of a geometry-optimized KReW structure.

## Properties
- SG = Fmm2, No. 42
- formation energy from the elements (meV/atom) = 1007
- excess energy over the best structure of this formula in the dataset (meV per atom) = 0.0

Cell: 8.603 8.431 2.775 Å, 84.14 77.14 18.71°
Positions (direct):
K (0.000, 0.000, 0.000)
Re (0.321, 0.321, 0.679)
W (0.693, 0.693, 0.307)

---

(5)
The following is a DFT calculation (PBE) of a geometry-optimized KRe3W structure.

## Properties
- SG = Pm-3m, No. 221
- formation energy from the elements (meV/atom) = 2198
- excess energy over the best structure of this formula in the dataset (meV per atom) = 0.0

Cell: 4.878 4.878 4.878 Å, 90.00 90.00 90.00°
Positions (direct):
K (0.000, 0.000, 0.000)
Re (0.000, 0.500, 0.500)
Re (0.500, 0.000, 0.500)
Re (0.500, 0.500, 0.000)
W (0.500, 0.500, 0.500)

---

(6)
The following is a DFT calculation (PBE) of a geometry-optimized KReW2 structure.

## Properties
- SG = Cmm2, No. 35
- formation energy from the elements (meV/atom) = 776
- excess energy over the best structure of this formula in the dataset (meV per atom) = 0.0

Cell: 2.767 2.767 10.497 Å, 90.00 90.00 110.32°
Positions (direct):
K (0.000, 0.000, 0.000)
Re (0.500, 0.500, 0.717)
W (0.000, 0.000, 0.513)
W (0.500, 0.500, 0.303)

---

(7)
The following is a DFT calculation (PBE) of a geometry-optimized KReW2 structure.

## Properties
- SG = P4/mmm, No. 123
- formation energy from the elements (meV/atom) = 1817
- excess energy over the best structure of this formula in the dataset (meV per atom) = 1041.5

Cell: 4.961 4.961 2.848 Å, 90.00 90.00 90.00°
Positions (direct):
K (0.000, 0.000, 0.000)
Re (0.500, 0.500, 0.000)
W (0.000, 0.500, 0.500)
W (0.500, 0.000, 0.500)

---

(8)
The following is a DFT calculation (PBE) of a geometry-optimized KReW2 structure.

## Properties
- SG = P2/m, No. 10
- formation energy from the elements (meV/atom) = 955
- excess energy over the best structure of this formula in the dataset (meV per atom) = 179.1

Cell: 2.801 4.176 7.998 Å, 90.00 96.59 90.00°
Positions (direct):
K (0.000, 0.000, 0.000)
Re (0.500, 0.000, 0.500)
W (0.157, 0.500, 0.648)
W (0.843, 0.500, 0.352)

---

(9)
The following is a DFT calculation (PBE) of a geometry-optimized K2ReW structure.

## Properties
- SG = P4/mmm, No. 123
- formation energy from the elements (meV/atom) = 2351
- excess energy over the best structure of this formula in the dataset (meV per atom) = 1444.8

Cell: 6.553 6.553 2.598 Å, 90.00 90.00 90.00°
Positions (direct):
K (0.000, 0.500, 0.000)
K (0.500, 0.000, 0.000)
Re (0.000, 0.000, 0.500)
W (0.500, 0.500, 0.500)

---

(10)
The following is a DFT calculation (PBE) of a geometry-optimized KRe2W structure.

## Properties
- SG = R-3m, No. 166
- formation energy from the elements (meV/atom) = 840
- excess energy over the best structure of this formula in the dataset (meV per atom) = 88.6

Cell: 10.592 10.592 10.592 Å, 15.47 15.47 15.47°
Positions (direct):
K (0.000, 0.000, 0.000)
Re (0.236, 0.236, 0.236)
Re (0.764, 0.764, 0.764)
W (0.500, 0.500, 0.500)

---

(11)
The following is a DFT calculation (PBE) of a geometry-optimized KRe2W structure.

## Properties
- SG = P4/mmm, No. 123
- formation energy from the elements (meV/atom) = 985
- excess energy over the best structure of this formula in the dataset (meV per atom) = 233.5

Cell: 2.811 2.811 9.791 Å, 90.00 90.00 90.00°
Positions (direct):
K (0.000, 0.000, 0.000)
Re (0.500, 0.500, 0.306)
Re (0.500, 0.500, 0.694)
W (0.000, 0.000, 0.500)

---

(12)
The following is a DFT calculation (PBE) of a geometry-optimized K2ReW structure.

## Properties
- SG = C2/m, No. 12
- formation energy from the elements (meV/atom) = 994
- excess energy over the best structure of this formula in the dataset (meV per atom) = 88.0

Cell: 10.740 10.740 4.159 Å, 100.86 100.86 16.17°
Positions (direct):
K (0.149, 0.149, 0.141)
K (0.851, 0.851, 0.859)
Re (0.500, 0.500, 0.000)
W (0.000, 0.000, 0.500)

---

(13)
The following is a DFT calculation (PBE) of a geometry-optimized KReW2 structure.

## Properties
- SG = C2/m, No. 12
- formation energy from the elements (meV/atom) = 1230
- excess energy over the best structure of this formula in the dataset (meV per atom) = 454.2

Cell: 4.711 4.711 7.579 Å, 91.34 91.34 33.41°
Positions (direct):
K (0.000, 0.000, 0.000)
Re (0.500, 0.500, 0.500)
W (0.238, 0.238, 0.651)
W (0.762, 0.762, 0.349)

---

(14)
The following is a DFT calculation (PBE) of a geometry-optimized KReW2 structure.

## Properties
- SG = P4/mmm, No. 123
- formation energy from the elements (meV/atom) = 2146
- excess energy over the best structure of this formula in the dataset (meV per atom) = 1369.7

Cell: 4.001 4.001 4.584 Å, 90.00 90.00 90.00°
Positions (direct):
K (0.000, 0.000, 0.000)
Re (0.500, 0.500, 0.000)
W (0.000, 0.500, 0.500)
W (0.500, 0.000, 0.500)

---

(15)
The following is a DFT calculation (PBE) of a geometry-optimized KReW structure.

## Properties
- SG = P3m1, No. 156
- formation energy from the elements (meV/atom) = 1109
- excess energy over the best structure of this formula in the dataset (meV per atom) = 102.2

Cell: 2.820 2.820 8.478 Å, 90.00 90.00 120.00°
Positions (direct):
K (0.000, 0.000, 0.000)
Re (0.667, 0.333, 0.358)
W (0.333, 0.667, 0.623)

---

(16)
The following is a DFT calculation (PBE) of a geometry-optimized KReW4 structure.

## Properties
- SG = F-43m, No. 216
- formation energy from the elements (meV/atom) = 1180

Cell: 5.372 5.372 5.372 Å, 60.00 60.00 60.00°
Positions (direct):
K (0.000, 0.000, 0.000)
Re (0.750, 0.750, 0.750)
W (0.375, 0.375, 0.375)
W (0.375, 0.375, 0.876)
W (0.375, 0.876, 0.375)
W (0.876, 0.375, 0.375)

---

(17)
The following is a DFT calculation (PBE) of a geometry-optimized KRe2W structure.

## Properties
- SG = Cm, No. 8
- formation energy from the elements (meV/atom) = 1117
- excess energy over the best structure of this formula in the dataset (meV per atom) = 365.4

Cell: 5.017 5.017 6.815 Å, 97.82 97.82 34.23°
Positions (direct):
K (0.000, 0.000, 0.000)
Re (0.497, 0.497, 0.490)
Re (0.783, 0.783, 0.368)
W (0.213, 0.213, 0.628)

---

(18)
The following is a DFT calculation (PBE) of a geometry-optimized KReW2 structure.

## Properties
- SG = Immm, No. 71
- formation energy from the elements (meV/atom) = 1361
- excess energy over the best structure of this formula in the dataset (meV per atom) = 585.4

Cell: 6.403 6.403 6.403 Å, 156.53 129.41 56.49°
Positions (direct):
K (0.000, 0.000, 0.000)
Re (0.500, 0.500, 0.000)
W (0.288, 0.788, 0.500)
W (0.712, 0.212, 0.500)

---

(19)
The following is a DFT calculation (PBE) of a geometry-optimized K2ReW structure.

## Properties
- SG = P2/m, No. 10
- formation energy from the elements (meV/atom) = 1467
- excess energy over the best structure of this formula in the dataset (meV per atom) = 561.1

Cell: 2.742 6.142 5.082 Å, 90.00 97.24 90.00°
Positions (direct):
K (0.249, 0.000, 0.252)
K (0.751, 0.000, 0.748)
Re (0.000, 0.500, 0.500)
W (0.500, 0.500, 0.000)

---

(20)
The following is a DFT calculation (PBE) of a geometry-optimized K2ReW structure.

## Properties
- SG = F-43m, No. 216
- formation energy from the elements (meV/atom) = 1981
- excess energy over the best structure of this formula in the dataset (meV per atom) = 1075.0

Cell: 4.910 4.910 4.910 Å, 60.00 60.00 60.00°
Positions (direct):
K (0.000, 0.000, 0.000)
K (0.250, 0.250, 0.250)
Re (0.750, 0.750, 0.750)
W (0.500, 0.500, 0.500)